! Na3Mg2Hg2 PBE optimized geometry; values from VASP
&SYSTEM
  ibrav = 0, nat = 7, ntyp = 3
/
ATOMIC_SPECIES
Na 22.99 Na.upf
Mg 24.30 Mg.upf
Hg 200.59 Hg.upf
ATOMIC_POSITIONS crystal
Na 0.000 0.000 0.000
Na 0.140 0.140 0.412
Na 0.860 0.860 0.588
Mg 0.282 0.282 0.846
Mg 0.718 0.718 0.154
Hg 0.407 0.407 0.225
Hg 0.593 0.593 0.775
CELL_PARAMETERS angstrom
4.346 -2.563 0.000
4.346 2.563 0.000
-3.116 0.000 7.952
! crystal system: monoclinic
! energy relative to the elements: -137 meV/atom
! size of the total moment: 0.000 μB/f.u.

---

! Na12MgHg7 PBE optimized geometry; values from VASP
&SYSTEM
  ibrav = 0, nat = 20, ntyp = 3
/
ATOMIC_SPECIES
Na 22.99 Na.upf
Mg 24.30 Mg.upf
Hg 200.59 Hg.upf
ATOMIC_POSITIONS crystal
Na 0.040 0.149 0.711
Na 0.149 0.711 0.040
Na 0.156 0.620 0.437
Na 0.289 0.960 0.851
Na 0.380 0.563 0.844
Na 0.437 0.156 0.620
Na 0.563 0.844 0.380
Na 0.620 0.437 0.156
Na 0.711 0.040 0.149
Na 0.844 0.380 0.563
Na 0.851 0.289 0.960
Na 0.960 0.851 0.289
Mg 0.500 0.500 0.500
Hg 0.000 0.000 0.000
Hg 0.130 0.262 0.426
Hg 0.262 0.426 0.130
Hg 0.426 0.130 0.262
Hg 0.574 0.870 0.738
Hg 0.738 0.574 0.870
Hg 0.870 0.738 0.574
CELL_PARAMETERS angstrom
7.259 4.191 3.093
-7.259 4.191 3.093
0.000 -8.382 3.093
! crystal system: trigonal
! energy relative to the elements: -164 meV/atom
! size of the total moment: 0.000 μB/f.u.

---

! NaMg5Hg6 PBE optimized geometry; values from VASP
&SYSTEM
  ibrav = 0, nat = 12, ntyp = 3
/
ATOMIC_SPECIES
Na 22.99 Na.upf
Mg 24.30 Mg.upf
Hg 200.59 Hg.upf
ATOMIC_POSITIONS crystal
Na 0.000 0.000 0.000
Mg 0.000 0.500 0.000
Mg 0.335 0.000 0.667
Mg 0.336 0.500 0.672
Mg 0.664 0.500 0.328
Mg 0.665 0.000 0.333
Hg 0.170 0.255 0.340
Hg 0.170 0.745 0.340
Hg 0.500 0.255 0.000
Hg 0.500 0.745 0.000
Hg 0.830 0.255 0.660
Hg 0.830 0.745 0.660
CELL_PARAMETERS angstrom
4.941 0.000 0.000
0.000 7.241 0.000
-2.406 0.000 7.343
! crystal system: monoclinic
! energy relative to the elements: -220 meV/atom
! size of the total moment: 0.000 μB/f.u.

---

! NaMg9Hg3 PBE optimized geometry; values from VASP
&SYSTEM
  ibrav = 0, nat = 13, ntyp = 3
/
ATOMIC_SPECIES
Na 22.99 Na.upf
Mg 24.30 Mg.upf
Hg 200.59 Hg.upf
ATOMIC_POSITIONS crystal
Na 0.000 0.000 0.000
Mg 0.000 0.000 0.500
Mg 0.010 0.657 0.657
Mg 0.287 0.510 0.782
Mg 0.343 0.990 0.343
Mg 0.490 0.713 0.218
Mg 0.510 0.287 0.782
Mg 0.657 0.010 0.657
Mg 0.713 0.490 0.218
Mg 0.990 0.343 0.343
Hg 0.000 0.500 0.000
Hg 0.500 0.000 0.000
Hg 0.500 0.500 0.500
CELL_PARAMETERS angstrom
3.029 -7.145 0.000
3.029 7.145 0.000
-2.867 0.000 7.100
! crystal system: monoclinic
! energy relative to the elements: -77 meV/atom
! size of the total moment: 0.000 μB/f.u.

---

! Na2Mg3Hg4 PBE optimized geometry; values from VASP
&SYSTEM
  ibrav = 0, nat = 18, ntyp = 3
/
ATOMIC_SPECIES
Na 22.99 Na.upf
Mg 24.30 Mg.upf
Hg 200.59 Hg.upf
ATOMIC_POSITIONS crystal
Na 0.103 0.897 0.907
Na 0.397 0.603 0.407
Na 0.603 0.397 0.593
Na 0.897 0.103 0.093
Mg 0.000 0.000 0.500
Mg 0.018 0.482 0.750
Mg 0.482 0.018 0.250
Mg 0.500 0.500 0.000
Mg 0.518 0.982 0.750
Mg 0.982 0.518 0.250
Hg 0.177 0.823 0.529
Hg 0.192 0.308 0.750
Hg 0.308 0.192 0.250
Hg 0.323 0.677 0.029
Hg 0.677 0.323 0.971
Hg 0.692 0.808 0.750
Hg 0.808 0.692 0.250
Hg 0.823 0.177 0.471
CELL_PARAMETERS angstrom
3.260 -8.377 0.000
3.260 8.377 0.000
0.000 0.000 8.241
! crystal system: orthorhombic
! energy relative to the elements: -186 meV/atom
! excess energy over the best structure of this formula in the dataset: 0 meV per atom
! size of the total moment: 0.000 μB/f.u.

---

! NaMg3Hg PBE optimized geometry; values from VASP
&SYSTEM
  ibrav = 0, nat = 10, ntyp = 3
/
ATOMIC_SPECIES
Na 22.99 Na.upf
Mg 24.30 Mg.upf
Hg 200.59 Hg.upf
ATOMIC_POSITIONS crystal
Na 0.079 0.921 0.750
Na 0.921 0.079 0.250
Mg 0.086 0.427 0.750
Mg 0.427 0.086 0.250
Mg 0.500 0.500 0.000
Mg 0.500 0.500 0.500
Mg 0.573 0.914 0.750
Mg 0.914 0.573 0.250
Hg 0.329 0.671 0.250
Hg 0.671 0.329 0.750
CELL_PARAMETERS angstrom
3.129 -7.223 0.000
3.129 7.223 0.000
0.000 0.000 5.605
! crystal system: orthorhombic
! energy relative to the elements: -53 meV/atom
! excess energy over the best structure of this formula in the dataset: 0 meV per atom
! size of the total moment: 0.000 μB/f.u.

---

! Na5MgHg4 PBE optimized geometry; values from VASP
&SYSTEM
  ibrav = 0, nat = 10, ntyp = 3
/
ATOMIC_SPECIES
Na 22.99 Na.upf
Mg 24.30 Mg.upf
Hg 200.59 Hg.upf
ATOMIC_POSITIONS crystal
Na 0.000 0.000 0.000
Na 0.000 0.000 0.199
Na 0.000 0.000 0.393
Na 0.000 0.000 0.607
Na 0.000 0.000 0.801
Mg 0.500 0.500 0.500
Hg 0.500 0.500 0.099
Hg 0.500 0.500 0.302
Hg 0.500 0.500 0.698
Hg 0.500 0.500 0.901
CELL_PARAMETERS angstrom
3.847 0.000 0.000
0.000 3.847 0.000
0.000 0.000 17.836
! crystal system: tetragonal
! energy relative to the elements: -171 meV/atom
! size of the total moment: 0.000 μB/f.u.

---

! Na6MgHg5 PBE optimized geometry; values from VASP
&SYSTEM
  ibrav = 0, nat = 12, ntyp = 3
/
ATOMIC_SPECIES
Na 22.99 Na.upf
Mg 24.30 Mg.upf
Hg 200.59 Hg.upf
ATOMIC_POSITIONS crystal
Na 0.000 0.240 0.000
Na 0.000 0.760 0.000
Na 0.266 0.253 0.645
Na 0.266 0.747 0.645
Na 0.734 0.253 0.355
Na 0.734 0.747 0.355
Mg 0.500 0.500 0.000
Hg 0.233 0.000 0.318
Hg 0.236 0.500 0.299
Hg 0.500 0.000 0.000
Hg 0.764 0.500 0.701
Hg 0.767 0.000 0.682
CELL_PARAMETERS angstrom
5.574 0.000 0.000
0.000 6.941 0.000
-1.128 0.000 8.158
! crystal system: monoclinic
! energy relative to the elements: -187 meV/atom
! size of the total moment: 0.000 μB/f.u.

---

! NaMgHg2 PBE optimized geometry; values from VASP
&SYSTEM
  ibrav = 0, nat = 8, ntyp = 3
/
ATOMIC_SPECIES
Na 22.99 Na.upf
Mg 24.30 Mg.upf
Hg 200.59 Hg.upf
ATOMIC_POSITIONS crystal
Na 0.000 0.000 0.000
Na 0.750 0.250 0.500
Mg 0.250 0.750 0.500
Mg 0.500 0.500 0.000
Hg 0.145 0.625 0.020
Hg 0.375 0.395 0.520
Hg 0.605 0.125 0.980
Hg 0.875 0.855 0.480
CELL_PARAMETERS angstrom
-4.039 4.039 3.237
4.039 -4.039 3.237
4.039 4.039 -3.237
! crystal system: tetragonal
! energy relative to the elements: -72 meV/atom
! size of the total moment: 0.000 μB/f.u.

---

! NaMg2Hg8 PBE optimized geometry; values from VASP
&SYSTEM
  ibrav = 0, nat = 11, ntyp = 3
/
ATOMIC_SPECIES
Na 22.99 Na.upf
Mg 24.30 Mg.upf
Hg 200.59 Hg.upf
ATOMIC_POSITIONS crystal
Na 0.000 0.000 0.000
Mg 0.277 0.277 0.345
Mg 0.723 0.723 0.655
Hg 0.103 0.103 0.459
Hg 0.176 0.176 0.912
Hg 0.350 0.350 0.788
Hg 0.462 0.462 0.270
Hg 0.538 0.538 0.730
Hg 0.650 0.650 0.212
Hg 0.824 0.824 0.088
Hg 0.897 0.897 0.541
CELL_PARAMETERS angstrom
8.411 -2.268 0.000
8.411 2.268 0.000
-2.692 0.000 6.916
! crystal system: monoclinic
! energy relative to the elements: -116 meV/atom
! size of the total moment: 0.000 μB/f.u.

---

! Na2MgHg4 PBE optimized geometry; values from VASP
&SYSTEM
  ibrav = 0, nat = 7, ntyp = 3
/
ATOMIC_SPECIES
Na 22.99 Na.upf
Mg 24.30 Mg.upf
Hg 200.59 Hg.upf
ATOMIC_POSITIONS crystal
Na 0.117 0.117 0.000
Na 0.883 0.883 0.000
Mg 0.500 0.500 0.000
Hg 0.000 0.500 0.500
Hg 0.312 0.312 0.000
Hg 0.500 0.000 0.500
Hg 0.688 0.688 0.000
CELL_PARAMETERS angstrom
-2.719 2.719 7.785
2.719 -2.719 7.785
2.719 2.719 -7.785
! crystal system: tetragonal
! energy relative to the elements: -53 meV/atom
! excess energy over the best structure of this formula in the dataset: 138 meV per atom
! size of the total moment: 0.000 μB/f.u.

---

! Na2MgHg4 PBE optimized geometry; values from VASP
&SYSTEM
  ibrav = 0, nat = 7, ntyp = 3
/
ATOMIC_SPECIES
Na 22.99 Na.upf
Mg 24.30 Mg.upf
Hg 200.59 Hg.upf
ATOMIC_POSITIONS crystal
Na 0.250 0.250 0.000
Na 0.750 0.750 0.000
Mg 0.000 0.000 0.000
Hg 0.107 0.607 0.500
Hg 0.393 0.893 0.500
Hg 0.607 0.107 0.500
Hg 0.893 0.393 0.500
CELL_PARAMETERS angstrom
-2.443 2.443 7.618
2.443 -2.443 7.618
2.443 2.443 -7.618
! crystal system: tetragonal
! energy relative to the elements: -191 meV/atom
! excess energy over the best structure of this formula in the dataset: 0 meV per atom
! size of the total moment: 0.000 μB/f.u.

---

Which formula does entry 6 have?
NaMg3Hg

---

Repeat the first record exactly.
! Na3Mg2Hg2 PBE optimized geometry; values from VASP
&SYSTEM
  ibrav = 0, nat = 7, ntyp = 3
/
ATOMIC_SPECIES
Na 22.99 Na.upf
Mg 24.30 Mg.upf
Hg 200.59 Hg.upf
ATOMIC_POSITIONS crystal
Na 0.000 0.000 0.000
Na 0.140 0.140 0.412
Na 0.860 0.860 0.588
Mg 0.282 0.282 0.846
Mg 0.718 0.718 0.154
Hg 0.407 0.407 0.225
Hg 0.593 0.593 0.775
CELL_PARAMETERS angstrom
4.346 -2.563 0.000
4.346 2.563 0.000
-3.116 0.000 7.952
! crystal system: monoclinic
! energy relative to the elements: -137 meV/atom
! size of the total moment: 0.000 μB/f.u.